RbTaAg2Br8 | PBE-GGA | optimized geometry

Cell and atoms, written as CIF:
```
data_RbTaAg2Br8
_space_group_name_H-M_alt 'P 1'
_space_group_IT_number 1
_cell_length_a 6.697
_cell_length_b 7.937
_cell_length_c 9.868
_cell_angle_alpha 62.13
_cell_angle_beta 86.11
_cell_angle_gamma 92.82
loop_
_space_group_symop_operation_xyz
'x,y,z'
loop_
_atom_site_label
_atom_site_type_symbol
_atom_site_fract_x
_atom_site_fract_y
_atom_site_fract_z
_atom_site_occupancy
Br1 Br 0.172 0.820 0.881 1
Br2 Br 0.674 0.796 0.040 1
Br3 Br 0.473 0.258 0.447 1
Br4 Br 0.326 0.204 0.960 1
Br5 Br 0.088 0.754 0.266 1
Br6 Br 0.828 0.180 0.119 1
Br7 Br 0.527 0.742 0.553 1
Br8 Br 0.912 0.246 0.734 1
Ag1 Ag 0.509 0.360 0.666 1
Ag2 Ag 0.491 0.640 0.334 1
Ta1 Ta 0.000 0.000 0.000 1
Rb1 Rb 0.000 0.000 0.500 1
```

Output
total magnetization	0.00	μB per cell
total DFT energy (no corrections)	-42.03	eV per cell

---

Rb3TbAg2Br9 | PBE-GGA | optimized geometry

Cell and atoms, written as CIF:
```
data_Rb3TbAg2Br9
_space_group_name_H-M_alt 'P 1'
_space_group_IT_number 1
_cell_length_a 7.876
_cell_length_b 7.876
_cell_length_c 9.794
_cell_angle_alpha 90.00
_cell_angle_beta 90.00
_cell_angle_gamma 120.00
loop_
_space_group_symop_operation_xyz
'x,y,z'
loop_
_atom_site_label
_atom_site_type_symbol
_atom_site_fract_x
_atom_site_fract_y
_atom_site_fract_z
_atom_site_occupancy
Rb1 Rb 0.000 0.000 0.000 1
Rb2 Rb 0.333 0.667 0.693 1
Rb3 Rb 0.667 0.333 0.307 1
Tb1 Tb 0.000 0.000 0.500 1
Br1 Br 0.000 0.500 0.000 1
Br2 Br 0.500 0.000 0.000 1
Br3 Br 0.833 0.167 0.666 1
Br4 Br 0.833 0.666 0.666 1
Br5 Br 0.167 0.334 0.334 1
Br6 Br 0.167 0.833 0.334 1
Br7 Br 0.666 0.833 0.334 1
Br8 Br 0.334 0.167 0.666 1
Br9 Br 0.500 0.500 0.000 1
Ag1 Ag 0.333 0.667 0.154 1
Ag2 Ag 0.667 0.333 0.846 1
```

Output
total magnetization	0.00	μB per cell
total DFT energy (no corrections)	-47.66	eV per cell

---

RbTbAgBr5 | PBE-GGA | optimized geometry

Cell and atoms, written as CIF:
```
data_RbTbAgBr5
_space_group_name_H-M_alt 'P 1'
_space_group_IT_number 1
_cell_length_a 8.053
_cell_length_b 8.053
_cell_length_c 10.777
_cell_angle_alpha 102.42
_cell_angle_beta 102.42
_cell_angle_gamma 108.71
loop_
_space_group_symop_operation_xyz
'x,y,z'
loop_
_atom_site_label
_atom_site_type_symbol
_atom_site_fract_x
_atom_site_fract_y
_atom_site_fract_z
_atom_site_occupancy
Br1 Br 0.093 0.696 0.908 1
Br2 Br 0.247 0.366 0.563 1
Br3 Br 0.366 0.247 0.063 1
Br4 Br 0.753 0.634 0.437 1
Br5 Br 0.634 0.753 0.937 1
Br6 Br 0.907 0.304 0.092 1
Br7 Br 0.304 0.907 0.592 1
Br8 Br 0.929 0.071 0.750 1
Br9 Br 0.071 0.929 0.250 1
Br10 Br 0.696 0.093 0.408 1
Ag1 Ag 0.310 0.690 0.750 1
Ag2 Ag 0.690 0.310 0.250 1
Rb1 Rb 0.345 0.655 0.250 1
Rb2 Rb 0.655 0.345 0.750 1
Tb1 Tb 0.000 0.000 0.000 1
Tb2 Tb 0.000 0.000 0.500 1
```

Output
total magnetization	0.00	μB per cell
total DFT energy (no corrections)	-57.14	eV per cell

---

Rb3TbAg2Br8 | PBE-GGA | optimized geometry

Cell and atoms, written as CIF:
```
data_Rb3TbAg2Br8
_space_group_name_H-M_alt 'P 1'
_space_group_IT_number 1
_cell_length_a 7.885
_cell_length_b 7.885
_cell_length_c 10.260
_cell_angle_alpha 90.00
_cell_angle_beta 90.00
_cell_angle_gamma 120.00
loop_
_space_group_symop_operation_xyz
'x,y,z'
loop_
_atom_site_label
_atom_site_type_symbol
_atom_site_fract_x
_atom_site_fract_y
_atom_site_fract_z
_atom_site_occupancy
Rb1 Rb 0.333 0.667 0.615 1
Rb2 Rb 0.667 0.333 0.385 1
Rb3 Rb 0.000 0.000 0.000 1
Tb1 Tb 0.000 0.000 0.500 1
Br1 Br 0.333 0.667 0.934 1
Br2 Br 0.667 0.333 0.066 1
Br3 Br 0.165 0.835 0.337 1
Br4 Br 0.165 0.330 0.337 1
Br5 Br 0.670 0.835 0.337 1
Br6 Br 0.835 0.165 0.663 1
Br7 Br 0.835 0.670 0.663 1
Br8 Br 0.330 0.165 0.663 1
Ag1 Ag 0.667 0.333 0.820 1
Ag2 Ag 0.333 0.667 0.180 1
```

Output
total magnetization	0.00	μB per cell
total DFT energy (no corrections)	-45.43	eV per cell

---

RbTcAgBr6 | PBE-GGA | optimized geometry

Cell and atoms, written as CIF:
```
data_RbTcAgBr6
_space_group_name_H-M_alt 'P 1'
_space_group_IT_number 1
_cell_length_a 7.223
_cell_length_b 7.223
_cell_length_c 14.789
_cell_angle_alpha 90.00
_cell_angle_beta 90.00
_cell_angle_gamma 120.00
loop_
_space_group_symop_operation_xyz
'x,y,z'
loop_
_atom_site_label
_atom_site_type_symbol
_atom_site_fract_x
_atom_site_fract_y
_atom_site_fract_z
_atom_site_occupancy
Br1 Br 0.646 0.609 0.150 1
Br2 Br 0.354 0.963 0.650 1
Br3 Br 0.609 0.646 0.650 1
Br4 Br 0.037 0.391 0.650 1
Br5 Br 0.609 0.963 0.850 1
Br6 Br 0.391 0.037 0.150 1
Br7 Br 0.646 0.037 0.350 1
Br8 Br 0.963 0.354 0.150 1
Br9 Br 0.963 0.609 0.350 1
Br10 Br 0.354 0.391 0.850 1
Br11 Br 0.391 0.354 0.350 1
Br12 Br 0.037 0.646 0.850 1
Ag1 Ag 0.333 0.667 0.250 1
Ag2 Ag 0.667 0.333 0.750 1
Tc1 Tc 0.333 0.667 0.750 1
Tc2 Tc 0.667 0.333 0.250 1
Rb1 Rb 0.000 0.000 0.000 1
Rb2 Rb 0.000 0.000 0.500 1
```

Output
total magnetization	5.79	μB per cell
total DFT energy (no corrections)	-60.72	eV per cell

---

RbTcAg2Br8 | PBE-GGA | optimized geometry

Cell and atoms, written as CIF:
```
data_RbTcAg2Br8
_space_group_name_H-M_alt 'P 1'
_space_group_IT_number 1
_cell_length_a 6.667
_cell_length_b 7.087
_cell_length_c 9.917
_cell_angle_alpha 63.45
_cell_angle_beta 86.03
_cell_angle_gamma 94.41
loop_
_space_group_symop_operation_xyz
'x,y,z'
loop_
_atom_site_label
_atom_site_type_symbol
_atom_site_fract_x
_atom_site_fract_y
_atom_site_fract_z
_atom_site_occupancy
Tc1 Tc 0.000 0.000 0.000 1
Ag1 Ag 0.442 0.297 0.707 1
Ag2 Ag 0.558 0.703 0.293 1
Br1 Br 0.871 0.250 0.753 1
Br2 Br 0.504 0.274 0.445 1
Br3 Br 0.496 0.726 0.555 1
Br4 Br 0.269 0.295 0.965 1
Br5 Br 0.763 0.118 0.149 1
Br6 Br 0.237 0.882 0.851 1
Br7 Br 0.731 0.705 0.035 1
Br8 Br 0.129 0.750 0.247 1
Rb1 Rb 0.000 0.000 0.500 1
```

Output
total magnetization	2.91	μB per cell
total DFT energy (no corrections)	-37.20	eV per cell